1.
PBE Ta2Ge2Ir, optimized geometry; E_form = -92 kJ/mol of formula units; space-group type = P4/mbm; ρ = 14.21 Mg/m³; density of states at the Fermi level = 12.03 states/eV per cell
1.0
6.270 0.000 0.000
0.000 6.270 0.000
0.000 0.000 4.159
Ir Ge Ta
2 4 4
Direct
0.500 0.500 0.000
0.000 0.000 0.000
0.138 0.362 0.000
0.638 0.138 0.000
0.862 0.638 0.000
0.362 0.862 0.000
0.662 0.838 0.500
0.338 0.162 0.500
0.838 0.338 0.500
0.162 0.662 0.500


2.
PBE ReSe2BrN, optimized geometry; offset from the most stable computed form = 0 meV per atom; space-group type = P4/mmm; ρ = 7.50 Mg/m³; density of states at the Fermi level = 2.65 states/eV per cell; formation energy without anion corrections = 0.419 eV per atom
1.0
5.061 0.000 0.000
0.000 5.061 0.000
0.000 0.000 3.785
Se Br Re N
2 1 1 1
Direct
0.000 0.500 0.000
0.500 0.000 0.000
0.500 0.500 0.500
0.000 0.000 0.000
0.000 0.000 0.500


Copy entry 1 word for word.
PBE Ta2Ge2Ir, optimized geometry; E_form = -92 kJ/mol of formula units; space-group type = P4/mbm; ρ = 14.21 Mg/m³; density of states at the Fermi level = 12.03 states/eV per cell
1.0
6.270 0.000 0.000
0.000 6.270 0.000
0.000 0.000 4.159
Ir Ge Ta
2 4 4
Direct
0.500 0.500 0.000
0.000 0.000 0.000
0.138 0.362 0.000
0.638 0.138 0.000
0.862 0.638 0.000
0.362 0.862 0.000
0.662 0.838 0.500
0.338 0.162 0.500
0.838 0.338 0.500
0.162 0.662 0.500